SrGaP2S after structural relaxation, computed with GGA-PBE.

Unit cell a=5.6330 b=5.6330 c=5.5319 alpha=90.00 beta=90.00 gamma=90.00
Space group P4/mmm (No. 123)
Symmetry-distinct sites (fractional):
Sr1 0.0000 0.0000 0.0000 [1 per cell]
Ga1 0.5000 0.5000 0.5000 [1 per cell]
P1 0.0000 0.5000 0.0000 [2 per cell]
S1 0.0000 0.0000 0.5000 [1 per cell]

Results
As for the size of the total moment: 1.90 μB/f.u. As for the formation energy (no corrections): 0.85 eV/atom.



TaGaP2S after structural relaxation, computed with GGA-PBE.

Unit cell a=4.8813 b=4.8813 c=4.7698 alpha=90.00 beta=90.00 gamma=90.00
Space group P4/mmm (No. 123)
Symmetry-distinct sites (fractional):
Ta1 0.0000 0.0000 0.0000 [1 per cell]
Ga1 0.5000 0.5000 0.5000 [1 per cell]
P1 0.0000 0.5000 0.0000 [2 per cell]
S1 0.0000 0.0000 0.5000 [1 per cell]

Results
As for the size of the total moment: 0.00 μB/f.u. As for the formation energy (no corrections): 0.10 eV/atom.



Q: Look up the formation energy (no corrections) of the first one.
A: 0.85 eV/atom